Record 1
A relaxed structure of BaCaMnO4. Source: Alexandria, functional GGA+U.

```
BaCaMnO4
1.0
0.000 4.490 4.490
4.490 0.000 4.490
4.490 4.490 0.000
Ba Ca Mn O
1 1 1 4
Direct
0.000 0.000 0.000 Ba
0.750 0.750 0.750 Ca
0.500 0.500 0.500 Mn
0.156 0.615 0.615 O
0.615 0.156 0.615 O
0.615 0.615 0.156 O
0.615 0.615 0.615 O
```

Values from the calculation:
Electronic total energy, Ha/atom: -0.2235
Space-group type: F-43m, No. 216
Total moment, μB/f.u.: 3.0
Calculated volume, Å³/atom: 25.858

***

Record 2
A relaxed structure of BaCa2MnO4. Source: Alexandria, functional GGA+U.

```
BaCa2MnO4
1.0
1.772 -5.979 0.000
1.772 5.979 0.000
0.000 0.000 12.008
Ba Ca Mn O
2 4 2 8
Direct
0.110 0.890 0.750 Ba
0.890 0.110 0.250 Ba
0.370 0.630 0.540 Ca
0.370 0.630 0.960 Ca
0.630 0.370 0.040 Ca
0.630 0.370 0.460 Ca
0.157 0.843 0.250 Mn
0.843 0.157 0.750 Mn
0.000 0.000 0.000 O
0.000 0.000 0.500 O
0.260 0.740 0.116 O
0.260 0.740 0.384 O
0.434 0.566 0.750 O
0.566 0.434 0.250 O
0.740 0.260 0.616 O
0.740 0.260 0.884 O
```

Values from the calculation:
Electronic total energy, Ha/atom: -0.2430
Space-group type: Cmcm, No. 63
Total moment, μB/f.u.: 5.0
Calculated volume, Å³/atom: 15.898

***

Record 3
A relaxed structure of BaCaMn4O12. Source: Alexandria, functional GGA+U.

```
BaCaMn4O12
1.0
5.414 0.000 0.000
0.000 5.414 0.000
0.000 0.000 7.638
Ba Ca Mn O
1 1 4 12
Direct
0.000 0.000 0.000 Ba
0.500 0.500 0.500 Ca
0.000 0.500 0.252 Mn
0.000 0.500 0.748 Mn
0.500 0.000 0.252 Mn
0.500 0.000 0.748 Mn
0.000 0.500 0.000 O
0.000 0.500 0.500 O
0.258 0.258 0.264 O
0.258 0.258 0.736 O
0.258 0.742 0.264 O
0.258 0.742 0.736 O
0.500 0.000 0.000 O
0.500 0.000 0.500 O
0.742 0.258 0.264 O
0.742 0.258 0.736 O
0.742 0.742 0.264 O
0.742 0.742 0.736 O
```

Values from the calculation:
Electronic total energy, Ha/atom: -0.2354
Space-group type: P4/mmm, No. 123
Total moment, μB/f.u.: 16.5
Calculated volume, Å³/atom: 12.436